Entry from Alexandria: a geometry-optimized TiCl4 structure (PBEsol).

Structure (CIF):
```
data_TiCl4
_cell_length_a 9.874
_cell_length_b 6.614
_cell_length_c 9.853
_cell_angle_alpha 90.00
_cell_angle_beta 102.72
_cell_angle_gamma 90.00
_symmetry_space_group_name_H-M 'P 1 21/c 1'
_symmetry_Int_Tables_number 14
_symmetry_space_group_name_Hall '-P 2ybc'
loop_
_atom_site_label
_atom_site_type_symbol
_atom_site_fract_x
_atom_site_fract_y
_atom_site_fract_z
Ti1 Ti 0.249 0.076 0.366
Cl1 Cl 0.071 0.075 0.193
Cl2 Cl 0.196 0.576 0.042
Cl3 Cl 0.309 0.114 0.922
Cl4 Cl 0.420 0.580 0.805
```

**ΔE_f (raw)**: -7.62 eV/f.u.
**DOS(E_F)**: 0.00 states/eV/cell
**E_tot**: -4.7956 eV per atom

---

Entry from Alexandria: a geometry-optimized CePmSi2 structure (PBEsol).

Structure (CIF):
```
data_CePmSi2
_cell_length_a 8.078
_cell_length_b 4.732
_cell_length_c 5.582
_cell_angle_alpha 90.00
_cell_angle_beta 119.72
_cell_angle_gamma 90.00
_symmetry_space_group_name_H-M 'C 1 2/m 1'
_symmetry_Int_Tables_number 12
_symmetry_space_group_name_Hall '-C 2y'
loop_
_atom_site_label
_atom_site_type_symbol
_atom_site_fract_x
_atom_site_fract_y
_atom_site_fract_z
Ce1 Ce 0.000 0.000 0.000
Pm1 Pm 0.000 0.500 0.500
Si1 Si 0.246 0.500 0.236
```

**ΔE_f (raw)**: -1.83 eV/f.u.
**DOS(E_F)**: 9.09 states/eV/cell
**E_tot**: -6.2644 eV per atom

---

Entry from Alexandria: a geometry-optimized Na3ZrHg structure (PBEsol).

Structure (CIF):
```
data_Na3ZrHg
_cell_length_a 6.150
_cell_length_b 6.150
_cell_length_c 6.150
_cell_angle_alpha 90.00
_cell_angle_beta 90.00
_cell_angle_gamma 90.00
_symmetry_space_group_name_H-M 'P m -3 m'
_symmetry_Int_Tables_number 221
_symmetry_space_group_name_Hall '-P 4 2 3'
loop_
_atom_site_label
_atom_site_type_symbol
_atom_site_fract_x
_atom_site_fract_y
_atom_site_fract_z
Na1 Na 0.000 0.000 0.500
Zr1 Zr 0.000 0.000 0.000
Hg1 Hg 0.500 0.500 0.500
```

**Energy relative to the elements**: 1.205 eV per atom
**DOS(E_F)**: 10.00 states/eV/cell
**E_tot**: -1.5657 eV per atom

---

Entry from Alexandria: a geometry-optimized SrAl3Tc structure (PBEsol).

Structure (CIF):
```
data_SrAl3Tc
_cell_length_a 6.684
_cell_length_b 6.684
_cell_length_c 4.878
_cell_angle_alpha 90.00
_cell_angle_beta 90.00
_cell_angle_gamma 90.00
_symmetry_space_group_name_H-M 'P 4/n m m'
_symmetry_Int_Tables_number 129
loop_
_symmetry_equiv_pos_as_xyz
'x,y,z'
'-x,-y,-z'
'-y+1/2,x,z'
'y+1/2,-x,-z'
'-x+1/2,-y+1/2,z'
'x+1/2,y+1/2,-z'
'y,-x+1/2,z'
'-y,x+1/2,-z'
'x+1/2,-y,-z'
'-x+1/2,y,z'
'-y,-x,-z'
'y,x,z'
'-x,y+1/2,-z'
'x,-y+1/2,z'
'y+1/2,x+1/2,-z'
'-y+1/2,-x+1/2,z'
loop_
_atom_site_label
_atom_site_type_symbol
_atom_site_fract_x
_atom_site_fract_y
_atom_site_fract_z
Sr1 Sr 0.250 0.750 0.000
Al1 Al 0.000 0.000 0.500
Al2 Al 0.250 0.250 0.107
Tc1 Tc 0.250 0.250 0.610
```

**Polymorph energy (0 for the lowest one)**: 0.0 meV/atom
**Energy relative to the elements**: -0.276 eV per atom
**DOS(E_F)**: 0.72 states/eV/cell
**E_tot**: -5.3522 eV per atom

---

Entry from Alexandria: a geometry-optimized MoPb2Br structure (PBEsol).

Structure (CIF):
```
data_MoPb2Br
_cell_length_a 3.329
_cell_length_b 5.278
_cell_length_c 5.514
_cell_angle_alpha 90.00
_cell_angle_beta 90.00
_cell_angle_gamma 90.00
_symmetry_space_group_name_H-M 'P m m m'
_symmetry_Int_Tables_number 47
_symmetry_space_group_name_Hall '-P 2 2'
loop_
_atom_site_label
_atom_site_type_symbol
_atom_site_fract_x
_atom_site_fract_y
_atom_site_fract_z
Mo1 Mo 0.000 0.000 0.000
Pb1 Pb 0.000 0.500 0.500
Pb2 Pb 0.500 0.500 0.000
Br1 Br 0.500 0.000 0.500
```

**Polymorph energy (0 for the lowest one)**: 385.9 meV/atom
**ΔE_f (raw)**: 2.98 eV/f.u.
**DOS(E_F)**: 2.58 states/eV/cell
**E_tot**: -4.6634 eV per atom

---

Entry from Alexandria: a geometry-optimized KCaHfPd2 structure (PBEsol).

Structure (CIF):
```
data_KCaHfPd2
_cell_length_a 4.922
_cell_length_b 4.922
_cell_length_c 5.555
_cell_angle_alpha 90.00
_cell_angle_beta 90.00
_cell_angle_gamma 90.00
_symmetry_space_group_name_H-M 'P 4/m m m'
_symmetry_Int_Tables_number 123
_symmetry_space_group_name_Hall '-P 4 2'
loop_
_atom_site_label
_atom_site_type_symbol
_atom_site_fract_x
_atom_site_fract_y
_atom_site_fract_z
K1 K 0.000 0.000 0.000
Ca1 Ca 0.500 0.500 0.000
Hf1 Hf 0.000 0.000 0.500
Pd1 Pd 0.000 0.500 0.500
```

**Energy relative to the elements**: 0.513 eV per atom
**DOS(E_F)**: 3.16 states/eV/cell
**E_tot**: -4.6247 eV per atom

---

Entry from Alexandria: a geometry-optimized SrLaZn2 structure (PBEsol).

Structure (CIF):
```
data_SrLaZn2
_cell_length_a 3.709
_cell_length_b 5.329
_cell_length_c 5.329
_cell_angle_alpha 90.00
_cell_angle_beta 90.00
_cell_angle_gamma 90.00
_symmetry_space_group_name_H-M 'P m m 2'
_symmetry_Int_Tables_number 25
_symmetry_space_group_name_Hall 'P 2 -2'
loop_
_atom_site_label
_atom_site_type_symbol
_atom_site_fract_x
_atom_site_fract_y
_atom_site_fract_z
Sr1 Sr 0.000 0.000 0.000
La1 La 0.000 0.500 0.498
Zn1 Zn 0.500 0.000 0.501
Zn2 Zn 0.500 0.500 0.997
```

**Energy relative to the elements**: -0.201 eV per atom
**DOS(E_F)**: 2.78 states/eV/cell
**E_tot**: -2.7888 eV per atom

---

Entry from Alexandria: a geometry-optimized ScGeOs structure (PBEsol).

Structure (CIF):
```
data_ScGeOs
_cell_length_a 6.9374
_cell_length_b 6.9374
_cell_length_c 3.4081
_cell_angle_alpha 90.00
_cell_angle_beta 90.00
_cell_angle_gamma 120.00
_symmetry_space_group_name_H-M 'P -6 2 m'
_symmetry_Int_Tables_number 189
_symmetry_space_group_name_Hall 'P -6 -2'
loop_
_atom_site_label
_atom_site_type_symbol
_atom_site_fract_x
_atom_site_fract_y
_atom_site_fract_z
Sc1 Sc 0.0000 0.4017 0.0000
Ge1 Ge 0.0000 0.0000 0.0000
Ge2 Ge 0.3333 0.6667 0.5000
Os1 Os 0.0000 0.7432 0.5000
```

**Energy relative to the elements**: -0.676 eV per atom
**DOS(E_F)**: 2.16 states/eV/cell
**E_tot**: -8.5962 eV per atom